Crystalline CeDy2Tm6 at its relaxed geometry, computed with GGA-PBE.

a b c (Å): 6.0908 6.0908 15.1903
angles (deg): 92.21 92.21 92.45
Fractional coordinates of all 18 atoms:
Ce (0.2301, 0.7699, 0.7500)
Ce (0.7699, 0.2301, 0.2500)
Dy (0.1056, 0.6212, 0.3134)
Dy (0.3788, 0.8944, 0.1866)
Dy (0.6212, 0.1056, 0.8134)
Dy (0.8944, 0.3788, 0.6866)
Tm (0.1604, 0.3042, 0.8830)
Tm (0.1716, 0.7375, 0.5227)
Tm (0.2625, 0.8284, 0.9773)
Tm (0.2636, 0.3723, 0.1144)
Tm (0.3042, 0.1604, 0.3830)
Tm (0.3723, 0.2636, 0.6144)
Tm (0.6277, 0.7364, 0.3856)
Tm (0.6958, 0.8396, 0.6170)
Tm (0.7364, 0.6277, 0.8856)
Tm (0.7375, 0.1716, 0.0227)
Tm (0.8284, 0.2625, 0.4773)
Tm (0.8396, 0.6958, 0.1170)

N(E_F): 1.9413 states/eV per atom
Energy relative to the lowest polymorph listed for this composition: 0.450 eV/f.u.
Energy of formation from the pure elements: 178 meV/atom
Size of the total moment: 0.089 μB/atom
Calculated volume: 562.14 Å³ per cell



Crystalline CeDyTm2 at its relaxed geometry, computed with GGA-PBE.

a b c (Å): 3.5378 3.5378 11.3105
angles (deg): 90.00 90.00 120.00
Fractional coordinates of all 4 atoms:
Ce (0.0000, 0.0000, 0.0000)
Dy (0.0000, 0.0000, 0.5000)
Tm (0.3333, 0.6667, 0.2511)
Tm (0.3333, 0.6667, 0.7489)

N(E_F): 2.2551 states/eV per atom
Energy relative to the lowest polymorph listed for this composition: 0.002 eV/f.u.
Energy of formation from the pure elements: 57 meV/atom
Size of the total moment: 0.263 μB/atom
Calculated volume: 122.60 Å³ per cell



Crystalline CeDy7Tm2 at its relaxed geometry, computed with GGA-PBE.

a b c (Å): 8.5438 8.5438 11.2787
angles (deg): 108.79 108.79 23.59
Fractional coordinates of all 10 atoms:
Ce (0.0000, 0.0000, 0.0000)
Dy (0.0000, 0.0000, 0.5000)
Dy (0.1056, 0.1056, 0.7985)
Dy (0.2892, 0.2892, 0.3824)
Dy (0.4148, 0.4148, 0.7086)
Dy (0.5852, 0.5852, 0.2914)
Dy (0.7108, 0.7108, 0.6176)
Dy (0.8944, 0.8944, 0.2015)
Tm (0.3102, 0.3102, 0.9216)
Tm (0.6898, 0.6898, 0.0784)

N(E_F): 1.6002 states/eV per atom
Energy of formation from the pure elements: 43 meV/atom
Size of the total moment: 0.077 μB/atom
Calculated volume: 311.13 Å³ per cell



Crystalline CeDy2Tm6 at its relaxed geometry, computed with GGA-PBE.

a b c (Å): 9.3564 9.3564 6.4843
angles (deg): 98.04 98.04 94.48
Fractional coordinates of all 18 atoms:
Ce (0.1206, 0.8794, 0.7500)
Ce (0.8794, 0.1206, 0.2500)
Dy (0.3343, 0.3868, 0.6319)
Dy (0.3868, 0.3343, 0.1319)
Dy (0.6132, 0.6657, 0.8681)
Dy (0.6657, 0.6132, 0.3681)
Tm (0.0509, 0.2182, 0.8178)
Tm (0.0566, 0.4588, 0.2650)
Tm (0.2182, 0.0509, 0.3178)
Tm (0.2793, 0.6577, 0.0012)
Tm (0.3423, 0.7207, 0.4988)
Tm (0.4588, 0.0566, 0.7650)
Tm (0.5412, 0.9434, 0.2350)
Tm (0.6577, 0.2793, 0.5012)
Tm (0.7207, 0.3423, 0.9988)
Tm (0.7818, 0.9491, 0.6822)
Tm (0.9434, 0.5412, 0.7350)
Tm (0.9491, 0.7818, 0.1822)

N(E_F): 1.6631 states/eV per atom
Energy relative to the lowest polymorph listed for this composition: 0.000 eV/f.u.
Energy of formation from the pure elements: 127 meV/atom
Size of the total moment: 0.112 μB/atom
Calculated volume: 553.76 Å³ per cell



Crystalline CeDyTm2 at its relaxed geometry, computed with GGA-PBE.

a b c (Å): 3.5000 3.5000 9.8813
angles (deg): 90.00 90.00 90.00
Fractional coordinates of all 4 atoms:
Ce (0.0000, 0.0000, 0.0000)
Dy (0.0000, 0.0000, 0.5000)
Tm (0.5000, 0.5000, 0.2462)
Tm (0.5000, 0.5000, 0.7538)

N(E_F): 2.0119 states/eV per atom
Energy relative to the lowest polymorph listed for this composition: 0.026 eV/f.u.
Energy of formation from the pure elements: 62 meV/atom
Size of the total moment: 0.171 μB/atom
Calculated volume: 121.05 Å³ per cell



Crystalline CeDyTm6 at its relaxed geometry, computed with GGA-PBE.

a b c (Å): 4.9485 4.9485 9.8714
angles (deg): 90.00 90.00 90.00
Fractional coordinates of all 8 atoms:
Ce (0.0000, 0.0000, 0.0000)
Dy (0.0000, 0.0000, 0.5000)
Tm (0.0000, 0.5000, 0.2488)
Tm (0.0000, 0.5000, 0.7512)
Tm (0.5000, 0.0000, 0.2488)
Tm (0.5000, 0.0000, 0.7512)
Tm (0.5000, 0.5000, 0.0000)
Tm (0.5000, 0.5000, 0.5000)

N(E_F): 1.5018 states/eV per atom
Energy relative to the lowest polymorph listed for this composition: 0.000 eV/f.u.
Energy of formation from the pure elements: 46 meV/atom
Size of the total moment: 0.113 μB/atom
Calculated volume: 241.72 Å³ per cell



Crystalline CeDyTm2 at its relaxed geometry, computed with GGA-PBE.

a b c (Å): 4.9638 4.9638 4.9263
angles (deg): 90.00 90.00 90.00
Fractional coordinates of all 4 atoms:
Ce (0.0000, 0.0000, 0.0000)
Dy (0.5000, 0.5000, 0.0000)
Tm (0.0000, 0.5000, 0.5000)
Tm (0.5000, 0.0000, 0.5000)

N(E_F): 1.7281 states/eV per atom
Energy relative to the lowest polymorph listed for this composition: 0.036 eV/f.u.
Energy of formation from the pure elements: 65 meV/atom
Size of the total moment: 0.117 μB/atom
Calculated volume: 121.38 Å³ per cell



Crystalline CeDy4Tm8 at its relaxed geometry, computed with GGA-PBE.

a b c (Å): 9.7468 9.7468 9.7468
angles (deg): 43.35 43.35 43.35
Fractional coordinates of all 13 atoms:
Ce (0.0000, 0.0000, 0.0000)
Dy (0.0000, 0.0000, 0.5000)
Dy (0.0000, 0.5000, 0.0000)
Dy (0.5000, 0.0000, 0.0000)
Dy (0.5000, 0.5000, 0.5000)
Tm (0.2459, 0.2459, 0.6962)
Tm (0.2459, 0.6962, 0.2459)
Tm (0.2799, 0.2799, 0.2799)
Tm (0.3038, 0.7541, 0.7541)
Tm (0.6962, 0.2459, 0.2459)
Tm (0.7201, 0.7201, 0.7201)
Tm (0.7541, 0.3038, 0.7541)
Tm (0.7541, 0.7541, 0.3038)

N(E_F): 1.4463 states/eV per atom
Energy of formation from the pure elements: 183 meV/atom
Size of the total moment: 0.004 μB/atom
Calculated volume: 395.75 Å³ per cell



Crystalline CeDy4Tm6 at its relaxed geometry, computed with GGA-PBE.

a b c (Å): 5.5584 5.5584 25.4163
angles (deg): 90.00 90.00 119.76
Fractional coordinates of all 22 atoms:
Ce (0.1707, 0.8293, 0.7500)
Ce (0.8293, 0.1707, 0.2500)
Dy (0.1656, 0.8344, 0.0413)
Dy (0.1656, 0.8344, 0.4587)
Dy (0.4961, 0.5039, 0.1221)
Dy (0.4961, 0.5039, 0.3779)
Dy (0.5039, 0.4961, 0.6221)
Dy (0.5039, 0.4961, 0.8779)
Dy (0.8344, 0.1656, 0.5413)
Dy (0.8344, 0.1656, 0.9587)
Tm (0.1628, 0.8372, 0.1815)
Tm (0.1628, 0.8372, 0.3185)
Tm (0.1696, 0.8304, 0.6023)
Tm (0.1696, 0.8304, 0.8977)
Tm (0.4959, 0.5041, 0.2500)
Tm (0.5000, 0.5000, 0.0000)
Tm (0.5000, 0.5000, 0.5000)
Tm (0.5041, 0.4959, 0.7500)
Tm (0.8304, 0.1696, 0.1023)
Tm (0.8304, 0.1696, 0.3977)
Tm (0.8372, 0.1628, 0.6815)
Tm (0.8372, 0.1628, 0.8185)

N(E_F): 1.8478 states/eV per atom
Energy of formation from the pure elements: 139 meV/atom
Size of the total moment: 0.064 μB/atom
Calculated volume: 681.69 Å³ per cell



Crystalline Ce2Dy8Tm3 at its relaxed geometry, computed with GGA-PBE.

a b c (Å): 8.9103 8.9103 12.0835
angles (deg): 112.03 112.03 82.59
Fractional coordinates of all 26 atoms:
Ce (0.1230, 0.8024, 0.9514)
Ce (0.1976, 0.8770, 0.5486)
Ce (0.8024, 0.1230, 0.4514)
Ce (0.8770, 0.1976, 0.0486)
Dy (0.0572, 0.3713, 0.3890)
Dy (0.1484, 0.4043, 0.9578)
Dy (0.1772, 0.2786, 0.6680)
Dy (0.2052, 0.5791, 0.2729)
Dy (0.2786, 0.1772, 0.1680)
Dy (0.3713, 0.0572, 0.8890)
Dy (0.4043, 0.1484, 0.4578)
Dy (0.4209, 0.7948, 0.2271)
Dy (0.5791, 0.2052, 0.7729)
Dy (0.5957, 0.8516, 0.5422)
Dy (0.6287, 0.9428, 0.1110)
Dy (0.7214, 0.8228, 0.8320)
Dy (0.7948, 0.4209, 0.7271)
Dy (0.8228, 0.7214, 0.3320)
Dy (0.8516, 0.5957, 0.0422)
Dy (0.9428, 0.6287, 0.6110)
Tm (0.0458, 0.9542, 0.2500)
Tm (0.3767, 0.6233, 0.7500)
Tm (0.5000, 0.5000, 0.0000)
Tm (0.5000, 0.5000, 0.5000)
Tm (0.6233, 0.3767, 0.2500)
Tm (0.9542, 0.0458, 0.7500)

N(E_F): 1.9982 states/eV per atom
Energy of formation from the pure elements: 187 meV/atom
Size of the total moment: 0.171 μB/atom
Calculated volume: 824.34 Å³ per cell



Crystalline CeDy6Tm10 at its relaxed geometry, computed with GGA-PBE.

a b c (Å): 9.5335 9.5335 6.7384
angles (deg): 90.00 90.00 120.00
Fractional coordinates of all 17 atoms:
Ce (0.0000, 0.0000, 0.0000)
Dy (0.0000, 0.3774, 0.8035)
Dy (0.0000, 0.6226, 0.1965)
Dy (0.3774, 0.0000, 0.8035)
Dy (0.3774, 0.3774, 0.1965)
Dy (0.6226, 0.0000, 0.1965)
Dy (0.6226, 0.6226, 0.8035)
Tm (0.0000, 0.2749, 0.3193)
Tm (0.0000, 0.7251, 0.6807)
Tm (0.2749, 0.0000, 0.3193)
Tm (0.2749, 0.2749, 0.6807)
Tm (0.3333, 0.6667, 0.0000)
Tm (0.3333, 0.6667, 0.5000)
Tm (0.6667, 0.3333, 0.0000)
Tm (0.6667, 0.3333, 0.5000)
Tm (0.7251, 0.0000, 0.6807)
Tm (0.7251, 0.7251, 0.3193)

N(E_F): 1.6183 states/eV per atom
Energy of formation from the pure elements: 148 meV/atom
Size of the total moment: 0.074 μB/atom
Calculated volume: 530.38 Å³ per cell



Crystalline CeDy3Tm4 at its relaxed geometry, computed with GGA-PBE.

a b c (Å): 11.7225 11.7225 6.6317
angles (deg): 106.40 106.40 16.66
Fractional coordinates of all 8 atoms:
Ce (0.0000, 0.0000, 0.0000)
Dy (0.3744, 0.3744, 0.6306)
Dy (0.5000, 0.5000, 0.5000)
Dy (0.6256, 0.6256, 0.3694)
Tm (0.2406, 0.2406, 0.2370)
Tm (0.3747, 0.3747, 0.1164)
Tm (0.6253, 0.6253, 0.8836)
Tm (0.7594, 0.7594, 0.7630)

N(E_F): 1.9828 states/eV per atom
Energy of formation from the pure elements: 193 meV/atom
Size of the total moment: 0.115 μB/atom
Calculated volume: 250.42 Å³ per cell



Crystalline CeDy12Tm6 at its relaxed geometry, computed with GGA-PBE.

a b c (Å): 8.6339 8.6339 8.6339
angles (deg): 99.32 99.32 99.32
Fractional coordinates of all 19 atoms:
Ce (0.0000, 0.0000, 0.0000)
Dy (0.0787, 0.3510, 0.3510)
Dy (0.2432, 0.5000, 0.7568)
Dy (0.2432, 0.7568, 0.5000)
Dy (0.3510, 0.0787, 0.3510)
Dy (0.3510, 0.3510, 0.0787)
Dy (0.5000, 0.2432, 0.7568)
Dy (0.5000, 0.7568, 0.2432)
Dy (0.6490, 0.6490, 0.9213)
Dy (0.6490, 0.9213, 0.6490)
Dy (0.7568, 0.2432, 0.5000)
Dy (0.7568, 0.5000, 0.2432)
Dy (0.9213, 0.6490, 0.6490)
Tm (0.1043, 0.1043, 0.6639)
Tm (0.1043, 0.6639, 0.1043)
Tm (0.3361, 0.8957, 0.8957)
Tm (0.6639, 0.1043, 0.1043)
Tm (0.8957, 0.3361, 0.8957)
Tm (0.8957, 0.8957, 0.3361)

N(E_F): 1.9243 states/eV per atom
Energy of formation from the pure elements: 212 meV/atom
Size of the total moment: 0.111 μB/atom
Calculated volume: 614.92 Å³ per cell



Crystalline CeDy4Tm at its relaxed geometry, computed with GGA-PBE.

a b c (Å): 8.7621 8.7621 6.1507
angles (deg): 96.60 96.60 23.41
Fractional coordinates of all 6 atoms:
Ce (0.0000, 0.0000, 0.0000)
Dy (0.1666, 0.1666, 0.3867)
Dy (0.3348, 0.3348, 0.1096)
Dy (0.6652, 0.6652, 0.8904)
Dy (0.8334, 0.8334, 0.6133)
Tm (0.5000, 0.5000, 0.5000)

N(E_F): 1.6986 states/eV per atom
Energy relative to the lowest polymorph listed for this composition: 0.000 eV/f.u.
Energy of formation from the pure elements: 27 meV/atom
Size of the total moment: 0.147 μB/atom
Calculated volume: 186.33 Å³ per cell



Crystalline Ce2Dy12Tm5 at its relaxed geometry, computed with GGA-PBE.

a b c (Å): 8.9339 8.9339 8.5481
angles (deg): 91.97 91.97 61.58
Fractional coordinates of all 19 atoms:
Ce (0.1487, 0.8513, 0.0000)
Ce (0.8513, 0.1487, 0.0000)
Dy (0.0601, 0.6757, 0.3151)
Dy (0.0607, 0.0607, 0.3429)
Dy (0.1747, 0.5329, 0.7633)
Dy (0.3243, 0.9399, 0.6849)
Dy (0.4309, 0.4309, 0.1280)
Dy (0.4671, 0.8253, 0.2367)
Dy (0.5329, 0.1747, 0.7633)
Dy (0.5691, 0.5691, 0.8720)
Dy (0.6757, 0.0601, 0.3151)
Dy (0.8253, 0.4671, 0.2367)
Dy (0.9393, 0.9393, 0.6571)
Dy (0.9399, 0.3243, 0.6849)
Tm (0.2126, 0.2126, 0.0391)
Tm (0.2697, 0.2697, 0.4346)
Tm (0.5000, 0.5000, 0.5000)
Tm (0.7303, 0.7303, 0.5654)
Tm (0.7874, 0.7874, 0.9609)

N(E_F): 1.6222 states/eV per atom
Energy relative to the lowest polymorph listed for this composition: 0.769 eV/f.u.
Energy of formation from the pure elements: 144 meV/atom
Size of the total moment: 0.047 μB/atom
Calculated volume: 599.53 Å³ per cell



Crystalline CeDy3Tm8 at its relaxed geometry, computed with GGA-PBE.

a b c (Å): 9.2947 9.2947 9.2947
angles (deg): 131.96 131.96 70.29
Fractional coordinates of all 12 atoms:
Ce (0.0000, 0.0000, 0.0000)
Dy (0.2500, 0.7500, 0.5000)
Dy (0.5000, 0.5000, 0.0000)
Dy (0.7500, 0.2500, 0.5000)
Tm (0.1240, 0.1240, 0.4962)
Tm (0.1240, 0.6278, 0.0000)
Tm (0.3722, 0.3722, 0.4962)
Tm (0.3722, 0.8760, 0.0000)
Tm (0.6278, 0.1240, 0.0000)
Tm (0.6278, 0.6278, 0.5038)
Tm (0.8760, 0.3722, 0.0000)
Tm (0.8760, 0.8760, 0.5038)

N(E_F): 1.4060 states/eV per atom
Energy of formation from the pure elements: 775 meV/atom
Size of the total moment: 0.151 μB/atom
Calculated volume: 435.16 Å³ per cell



Crystalline Ce4Dy9Tm11 at its relaxed geometry, computed with GGA-PBE.

a b c (Å): 14.8648 14.8648 3.6308
angles (deg): 90.00 90.00 112.37
Fractional coordinates of all 24 atoms:
Ce (0.0521, 0.2496, 0.0000)
Ce (0.2496, 0.0521, 0.0000)
Ce (0.7504, 0.9479, 0.0000)
Ce (0.9479, 0.7504, 0.0000)
Dy (0.0000, 0.0000, 0.0000)
Dy (0.1348, 0.6606, 0.0000)
Dy (0.2859, 0.4317, 0.0000)
Dy (0.3394, 0.8652, 0.0000)
Dy (0.4317, 0.2859, 0.0000)
Dy (0.5683, 0.7141, 0.0000)
Dy (0.6606, 0.1348, 0.0000)
Dy (0.7141, 0.5683, 0.0000)
Dy (0.8652, 0.3394, 0.0000)
Tm (0.0906, 0.4515, 0.5000)
Tm (0.1384, 0.8616, 0.5000)
Tm (0.2145, 0.2145, 0.5000)
Tm (0.3423, 0.6577, 0.5000)
Tm (0.4515, 0.0906, 0.5000)
Tm (0.5000, 0.5000, 0.5000)
Tm (0.5485, 0.9094, 0.5000)
Tm (0.6577, 0.3423, 0.5000)
Tm (0.7855, 0.7855, 0.5000)
Tm (0.8616, 0.1384, 0.5000)
Tm (0.9094, 0.5485, 0.5000)

N(E_F): 1.8951 states/eV per atom
Energy of formation from the pure elements: 99 meV/atom
Size of the total moment: 0.168 μB/atom
Calculated volume: 741.91 Å³ per cell



Crystalline CeDyTm2 at its relaxed geometry, computed with GGA-PBE.

a b c (Å): 6.6299 6.6299 10.8974
angles (deg): 90.43 90.43 30.16
Fractional coordinates of all 8 atoms:
Ce (0.1102, 0.1102, 0.0088)
Ce (0.8898, 0.8898, 0.9912)
Dy (0.1323, 0.1323, 0.4830)
Dy (0.8677, 0.8677, 0.5170)
Tm (0.2547, 0.2547, 0.7587)
Tm (0.4799, 0.4799, 0.2571)
Tm (0.5201, 0.5201, 0.7429)
Tm (0.7453, 0.7453, 0.2413)

N(E_F): 2.0557 states/eV per atom
Energy relative to the lowest polymorph listed for this composition: 0.000 eV/f.u.
Energy of formation from the pure elements: 56 meV/atom
Size of the total moment: 0.003 μB/atom
Calculated volume: 240.62 Å³ per cell



Crystalline CeDy6Tm4 at its relaxed geometry, computed with GGA-PBE.

a b c (Å): 5.5475 5.5475 25.5465
angles (deg): 90.00 90.00 118.71
Fractional coordinates of all 22 atoms:
Ce (0.1899, 0.8101, 0.7500)
Ce (0.8101, 0.1899, 0.2500)
Dy (0.1407, 0.8593, 0.1806)
Dy (0.1407, 0.8593, 0.3194)
Dy (0.1896, 0.8104, 0.6011)
Dy (0.1896, 0.8104, 0.8989)
Dy (0.4760, 0.5240, 0.2500)
Dy (0.5000, 0.5000, 0.0000)
Dy (0.5000, 0.5000, 0.5000)
Dy (0.5240, 0.4760, 0.7500)
Dy (0.8104, 0.1896, 0.1011)
Dy (0.8104, 0.1896, 0.3989)
Dy (0.8593, 0.1407, 0.6806)
Dy (0.8593, 0.1407, 0.8194)
Tm (0.1575, 0.8425, 0.0417)
Tm (0.1575, 0.8425, 0.4583)
Tm (0.4714, 0.5286, 0.1222)
Tm (0.4714, 0.5286, 0.3778)
Tm (0.5286, 0.4714, 0.6222)
Tm (0.5286, 0.4714, 0.8778)
Tm (0.8425, 0.1575, 0.5417)
Tm (0.8425, 0.1575, 0.9583)

N(E_F): 2.0304 states/eV per atom
Energy of formation from the pure elements: 146 meV/atom
Size of the total moment: 0.078 μB/atom
Calculated volume: 689.56 Å³ per cell